[1]
Th6BI15 | the Alexandria database | PBE | relaxed; formation energy (no corrections) = -24.05 eV per formula unit; total moment = 2.1 μB per cell
1.0
-8.922 1.910 5.440
4.390 -9.035 3.457
6.812 8.024 1.439
I Th B
15 6 1
Direct
0.253 0.747 0.000
0.253 0.253 0.507
0.000 0.253 0.747
0.000 0.500 0.500
0.493 0.747 0.747
0.253 0.507 0.253
0.747 0.493 0.747
0.507 0.253 0.253
0.500 0.000 0.500
0.747 0.253 0.000
0.000 0.747 0.253
0.253 0.000 0.747
0.747 0.000 0.253
0.747 0.747 0.493
0.500 0.500 0.000
0.000 0.775 0.775
0.000 0.225 0.225
0.225 0.225 0.000
0.225 0.000 0.225
0.775 0.775 0.000
0.775 0.000 0.775
0.000 0.000 0.000

[2]
Nd15YTm4 | the Alexandria database | PBE | relaxed; energy of formation = 10 meV per atom; total moment = 0.0 μB per cell
1.0
-0.356 -4.364 -2.710
4.573 -1.507 1.827
-11.653 -11.349 19.809
Nd Tm Y
15 4 1
Direct
0.500 0.500 0.201
0.500 0.500 0.000
0.500 0.000 0.101
0.500 0.000 0.500
0.000 0.500 0.500
0.000 0.500 0.101
0.000 0.500 0.699
0.500 0.000 0.899
0.500 0.000 0.699
0.500 0.000 0.301
0.000 0.500 0.301
0.500 0.500 0.799
0.500 0.500 0.400
0.000 0.500 0.899
0.500 0.500 0.600
0.000 0.000 0.799
0.000 0.000 0.400
0.000 0.000 0.201
0.000 0.000 0.600
0.000 0.000 0.000

[3]
BaMgAlGa2 | the Alexandria database | PBE | relaxed; energy of formation = -364 meV per atom; total moment = 0.0 μB per cell
1.0
4.589 0.000 0.000
0.000 4.589 0.000
-2.294 -2.294 5.770
Ga Mg Al Ba
2 1 1 1
Direct
0.615 0.615 0.230
0.385 0.385 0.770
0.750 0.250 0.500
0.250 0.750 0.500
0.000 0.000 0.000

[4]
AcZn3IrPd | the Alexandria database | PBE | relaxed; energy of formation = -340 meV per atom; total moment = 0.0 μB per cell
1.0
-2.669 2.805 -4.182
-0.833 -5.657 -3.263
-5.206 1.933 4.619
Zn Ir Ac Pd
6 2 2 2
Direct
0.000 0.304 0.000
0.750 0.854 0.708
0.250 0.146 0.292
0.500 0.696 0.000
0.500 0.304 0.000
0.000 0.696 0.000
0.250 0.950 0.900
0.750 0.050 0.100
0.750 0.270 0.539
0.250 0.730 0.461
0.750 0.650 0.299
0.250 0.350 0.701

[5]
NaLiRuCl6 | the Alexandria database | PBE | relaxed; formation energy (no corrections) = -9.58 eV per formula unit; total moment = 4.0 μB per cell
1.0
-3.437 -4.432 3.052
5.493 2.070 2.513
-6.032 8.778 5.957
Cl Ru Na Li
12 2 2 2
Direct
0.626 0.650 0.639
0.350 0.374 0.861
0.626 0.976 0.861
0.374 0.350 0.361
0.024 0.650 0.861
0.024 0.374 0.639
0.976 0.350 0.139
0.650 0.626 0.139
0.350 0.976 0.639
0.374 0.024 0.139
0.976 0.626 0.361
0.650 0.024 0.361
0.333 0.667 0.750
0.667 0.333 0.250
0.000 0.000 0.000
0.000 0.000 0.500
0.333 0.667 0.250
0.667 0.333 0.750

[6]
CsOF | the Alexandria database | PBE | relaxed; formation energy (no corrections) = -3.28 eV per formula unit; total moment = 0.0 μB per cell
1.0
-6.189 0.582 0.074
-3.385 -2.462 -1.377
6.438 1.586 9.487
O F Cs
2 2 2
Direct
0.248 0.320 0.659
0.752 0.680 0.341
0.244 0.725 0.860
0.756 0.275 0.140
0.254 0.556 0.280
0.746 0.444 0.720

[7]
Ce2PmDySe4 | the Alexandria database | PBE | relaxed; formation energy (no corrections) = -14.49 eV per formula unit; total moment = 0.1 μB per cell
1.0
4.152 0.000 0.000
0.000 7.234 -0.160
0.000 2.530 6.770
Pm Se Ce Dy
1 4 2 1
Direct
0.500 0.500 0.000
0.000 0.745 0.746
0.000 0.255 0.254
0.500 0.258 0.742
0.500 0.742 0.258
0.500 0.000 0.500
0.000 0.000 0.000
0.000 0.500 0.500

[8]
Y7TeI12 | the Alexandria database | PBE | relaxed; formation energy (no corrections) = -24.76 eV per formula unit; total moment = 0.0 μB per cell
1.0
9.343 -0.248 -2.877
-3.827 8.526 -2.877
-0.165 -0.248 9.774
Y I Te
7 12 1
Direct
0.500 0.500 0.500
0.886 0.957 0.675
0.325 0.114 0.043
0.114 0.043 0.325
0.957 0.675 0.886
0.043 0.325 0.114
0.675 0.886 0.957
0.156 0.393 0.473
0.844 0.607 0.527
0.923 0.312 0.775
0.077 0.688 0.225
0.393 0.473 0.156
0.527 0.844 0.607
0.607 0.527 0.844
0.688 0.225 0.077
0.775 0.923 0.312
0.225 0.077 0.688
0.312 0.775 0.923
0.473 0.156 0.393
0.000 0.000 0.000

[9]
VZn | the Alexandria database | PBE | relaxed; energy of formation = 394 meV per atom; total moment = 0.0 μB per cell
1.0
-5.126 -6.257 -5.140
-0.548 -4.277 5.753
-5.919 3.298 1.888
Zn V
16 16
Direct
0.750 0.750 0.919
0.750 0.750 0.581
0.250 0.250 0.581
0.750 0.250 0.419
0.750 0.250 0.081
0.250 0.250 0.919
0.250 0.750 0.419
0.500 0.000 0.331
0.000 0.500 0.669
0.250 0.750 0.081
0.000 0.000 0.169
0.500 0.500 0.169
0.500 0.000 0.669
0.000 0.000 0.831
0.500 0.500 0.831
0.000 0.500 0.331
0.000 0.345 0.000
0.750 0.905 0.250
0.250 0.595 0.750
0.000 0.155 0.500
0.500 0.845 0.000
0.500 0.345 0.500
0.500 0.155 0.000
0.750 0.595 0.250
0.000 0.655 0.000
0.750 0.405 0.750
0.250 0.905 0.750
0.500 0.655 0.500
0.250 0.095 0.250
0.000 0.845 0.500
0.250 0.405 0.250
0.750 0.095 0.750

[10]
CaHf | the Alexandria database | PBE | relaxed; energy of formation = 2019 meV per atom; total moment = 0.0 μB per cell
1.0
5.541 0.000 0.000
-2.770 4.799 0.000
0.000 0.000 6.083
Ca Hf
2 2
Direct
0.667 0.333 0.750
0.333 0.667 0.250
0.333 0.667 0.750
0.667 0.333 0.250

[11]
Fe3Si | the Alexandria database | PBE | relaxed; formation energy (no corrections) = 0.49 eV per formula unit; total moment = 13.7 μB per cell
1.0
-4.495 -1.321 -1.025
-0.232 -1.319 4.605
-1.399 3.939 1.058
Fe Si
6 2
Direct
0.960 0.960 0.250
0.493 0.125 0.250
0.875 0.507 0.750
0.507 0.875 0.750
0.040 0.040 0.750
0.125 0.493 0.250
0.614 0.614 0.250
0.386 0.386 0.750

[12]
Pm3Er3Mg | the Alexandria database | PBE | relaxed; energy of formation = 13 meV per atom; total moment = 0.9 μB per cell
1.0
-4.822 2.212 -1.851
-3.007 -8.668 -2.524
-1.830 3.316 8.729
Pm Mg Er
6 2 6
Direct
0.750 0.472 0.370
0.250 0.528 0.630
0.250 0.102 0.472
0.750 0.898 0.528
0.250 0.370 0.898
0.750 0.630 0.102
0.250 0.667 0.333
0.750 0.333 0.667
0.750 0.765 0.818
0.250 0.235 0.182
0.750 0.053 0.235
0.750 0.182 0.947
0.250 0.818 0.053
0.250 0.947 0.765

[13]
HfCdO3 | the Alexandria database | PBE | relaxed; formation energy (no corrections) = -12.26 eV per formula unit; total moment = 0.0 μB per cell
1.0
3.280 0.000 0.000
0.000 6.013 0.000
0.000 0.000 12.652
O Cd Hf
12 4 4
Direct
0.250 0.197 0.802
0.250 0.529 0.080
0.750 0.471 0.920
0.750 0.123 0.052
0.250 0.697 0.698
0.250 0.877 0.948
0.750 0.803 0.198
0.750 0.623 0.448
0.250 0.029 0.420
0.750 0.303 0.302
0.250 0.377 0.552
0.750 0.971 0.580
0.750 0.935 0.766
0.250 0.565 0.266
0.750 0.435 0.734
0.250 0.065 0.234
0.750 0.744 0.031
0.750 0.244 0.469
0.250 0.756 0.531
0.250 0.256 0.969

[14]
NiMoRh | the Alexandria database | PBE | relaxed; energy of formation = -77 meV per atom; total moment = 0.0 μB per cell
1.0
5.940 0.022 -0.023
5.319 2.646 -0.025
0.622 0.149 2.620
Ni Rh Mo
1 1 1
Direct
0.666 0.666 0.334
0.330 0.330 0.670
0.004 0.004 0.996

[15]
PtWCl | the Alexandria database | PBE | relaxed; formation energy (no corrections) = 0.95 eV per formula unit; total moment = 0.0 μB per cell
1.0
-4.655 3.480 -5.025
-6.367 2.357 -2.890
0.751 2.861 -0.041
Cl W Pt
1 1 1
Direct
0.023 0.023 0.977
0.663 0.663 0.337
0.314 0.314 0.686

[16]
Nd2AsSe | the Alexandria database | PBE | relaxed; formation energy (no corrections) = -6.94 eV per formula unit; total moment = 0.0 μB per cell
1.0
4.251 0.000 0.000
0.000 6.011 0.000
0.000 0.000 8.540
As Nd Se
2 4 2
Direct
0.000 0.500 0.374
0.500 0.000 0.626
0.500 0.500 0.617
0.500 0.500 0.136
0.000 0.000 0.383
0.000 0.000 0.864
0.500 0.000 0.122
0.000 0.500 0.878

[17]
LiCu5Ge2 | the Alexandria database | PBE | relaxed; energy of formation = 7 meV per atom; total moment = 0.0 μB per cell
1.0
-3.530 -0.648 1.089
-0.777 -5.926 0.412
0.066 -1.442 5.815
Cu Ge Li
5 2 1
Direct
0.354 0.467 0.825
0.354 0.825 0.467
0.000 0.500 0.500
0.646 0.533 0.175
0.646 0.175 0.533
0.724 0.776 0.776
0.276 0.224 0.224
0.000 0.000 0.000

[18]
SiNi3Ge | the Alexandria database | PBE | relaxed; formation energy (no corrections) = 1.66 eV per formula unit; total moment = 0.0 μB per cell
1.0
-3.294 -0.038 2.669
2.300 -2.189 2.808
1.353 3.630 1.721
Ni Si Ge
3 1 1
Direct
0.500 0.000 0.000
0.000 0.500 0.000
0.000 0.000 0.500
0.000 0.000 0.000
0.500 0.500 0.500

[19]
PmZrAgPt | the Alexandria database | PBE | relaxed; energy of formation = -476 meV per atom; total moment = 0.0 μB per cell
1.0
4.973 0.000 0.000
2.487 4.307 0.000
2.487 1.436 4.061
Ag Pm Pt Zr
1 1 1 1
Direct
0.250 0.250 0.250
0.000 0.000 0.000
0.750 0.750 0.750
0.500 0.500 0.500

[20]
FeAsRh2 | the Alexandria database | PBE | relaxed; energy of formation = -41 meV per atom; total moment = 3.6 μB per cell
1.0
-6.785 0.782 4.601
-7.734 -1.070 2.618
-6.291 -2.034 4.910
Rh As Fe
2 1 1
Direct
0.501 0.501 0.501
0.999 0.999 0.999
0.250 0.250 0.250
0.750 0.750 0.750